Below is a geometry-optimized MgFeTe2 structure, with properties calculated at the PBE level.

a = 6.184 Å, b = 5.124 Å, c = 4.072 Å
α = 74.97°, β = 76.78°, γ = 120.83°
Sites, in units of the cell vectors:
Fe 0.000 0.500 0.500
Mg 0.500 0.500 0.000
Te 0.000 0.000 0.000
Te 0.500 0.000 0.500

Results
The spin magnetization is 3.0 μB per cell. For the formation energy from raw total energies, the calculation gives 3.120 kcal/mol of atoms. As for the total energy: -3.950 eV per atom.



Below is a geometry-optimized MgFe2Te structure, with properties calculated at the PBE level.

a = 5.013 Å, b = 5.013 Å, c = 5.013 Å
α = 133.77°, β = 133.77°, γ = 67.44°
Sites, in units of the cell vectors:
Fe 0.000 0.000 0.000
Fe 0.250 0.750 0.500
Mg 0.500 0.500 0.000
Te 0.750 0.250 0.500

Results
For the polymorph energy (0 for the lowest one), the calculation gives 0.080 eV per atom. The spin magnetization is 4.9 μB per cell. For the formation energy from raw total energies, the calculation gives 6.002 kcal/mol of atoms. As for the total energy: -5.155 eV per atom.



Below is a geometry-optimized MgFe2Te structure, with properties calculated at the PBE level.

a = 5.037 Å, b = 5.037 Å, c = 3.948 Å
α = 67.16°, β = 67.16°, γ = 46.25°
Sites, in units of the cell vectors:
Fe 0.000 0.000 0.999
Fe 0.500 0.500 0.501
Mg 0.750 0.750 0.750
Te 0.250 0.250 0.250

Results
For the polymorph energy (0 for the lowest one), the calculation gives 0.101 eV per atom. The spin magnetization is 5.1 μB per cell. For the formation energy from raw total energies, the calculation gives 6.472 kcal/mol of atoms. As for the total energy: -5.135 eV per atom.



Below is a geometry-optimized MgFeTe2 structure, with properties calculated at the PBE level.

a = 3.753 Å, b = 6.185 Å, c = 7.745 Å
α = 44.53°, β = 90.00°, γ = 90.00°
Sites, in units of the cell vectors:
Fe 0.500 0.250 0.250
Mg 0.500 0.750 0.750
Te 0.000 0.219 0.038
Te 0.000 0.281 0.462

Results
The spin magnetization is 2.1 μB per cell. For the formation energy from raw total energies, the calculation gives -0.983 kcal/mol of atoms. As for the total energy: -4.128 eV per atom.



Below is a geometry-optimized MgFe2Te structure, with properties calculated at the PBE level.

a = 3.947 Å, b = 3.518 Å, c = 5.297 Å
α = 70.32°, β = 90.00°, γ = 90.00°
Sites, in units of the cell vectors:
Fe 0.000 0.191 0.995
Fe 0.500 0.058 0.257
Mg 0.000 0.473 0.425
Te 0.500 0.778 0.823

Results
For the polymorph energy (0 for the lowest one), the calculation gives 0.032 eV per atom. The spin magnetization is 4.6 μB per cell. For the formation energy from raw total energies, the calculation gives 4.875 kcal/mol of atoms. As for the total energy: -5.204 eV per atom.



Below is a geometry-optimized MgFeTe2 structure, with properties calculated at the PBE level.

a = 5.097 Å, b = 5.097 Å, c = 5.097 Å
α = 60.00°, β = 60.00°, γ = 60.00°
Sites, in units of the cell vectors:
Fe 0.500 0.500 0.500
Mg 0.750 0.750 0.750
Te 0.000 0.000 0.000
Te 0.250 0.250 0.250

Results
The spin magnetization is 3.0 μB per cell. For the formation energy from raw total energies, the calculation gives 11.704 kcal/mol of atoms. As for the total energy: -3.578 eV per atom.



Below is a geometry-optimized MgFeTe2 structure, with properties calculated at the PBE level.

a = 6.226 Å, b = 6.226 Å, c = 7.336 Å
α = 64.89°, β = 64.89°, γ = 90.00°
Sites, in units of the cell vectors:
Mg 0.500 0.500 0.000
Mg 0.250 0.750 0.500
Te 0.675 0.125 0.250
Te 0.075 0.625 0.250
Te 0.375 0.325 0.750
Te 0.875 0.925 0.750
Fe 0.000 0.000 0.000
Fe 0.750 0.250 0.500

Results
The spin magnetization is 0.0 μB per cell. For the formation energy from raw total energies, the calculation gives -0.986 kcal/mol of atoms. As for the total energy: -4.128 eV per atom.



Below is a geometry-optimized MgFeTe2 structure, with properties calculated at the PBE level.

a = 7.255 Å, b = 7.255 Å, c = 7.255 Å
α = 150.39°, β = 143.57°, γ = 47.63°
Sites, in units of the cell vectors:
Fe 0.250 0.750 0.500
Mg 0.750 0.250 0.500
Te 0.112 0.112 0.000
Te 0.388 0.388 0.000

Results
The spin magnetization is 2.1 μB per cell. For the formation energy from raw total energies, the calculation gives -3.582 kcal/mol of atoms. As for the total energy: -4.240 eV per atom.



Below is a geometry-optimized MgFeTe2 structure, with properties calculated at the PBE level.

a = 7.272 Å, b = 7.272 Å, c = 7.272 Å
α = 150.93°, β = 149.26°, γ = 42.82°
Sites, in units of the cell vectors:
Fe 0.456 0.456 0.000
Mg 0.705 0.205 0.500
Te 0.035 0.035 0.000
Te 0.304 0.804 0.500

Results
The spin magnetization is 3.2 μB per cell. For the formation energy from raw total energies, the calculation gives -1.293 kcal/mol of atoms. As for the total energy: -4.141 eV per atom.



Below is a geometry-optimized MgFeTe3 structure, with properties calculated at the PBE level.

a = 5.167 Å, b = 5.167 Å, c = 5.167 Å
α = 90.00°, β = 90.00°, γ = 90.00°
Sites, in units of the cell vectors:
Mg 0.500 0.500 0.500
Te 0.000 0.500 0.000
Te 0.000 0.000 0.500
Te 0.500 0.000 0.000
Fe 0.000 0.000 0.000

Results
For the polymorph energy (0 for the lowest one), the calculation gives 0.000 eV per atom. The spin magnetization is 2.9 μB per cell. For the formation energy from raw total energies, the calculation gives 5.543 kcal/mol of atoms. As for the total energy: -3.656 eV per atom.



Below is a geometry-optimized MgFe4Te structure, with properties calculated at the PBE level.

a = 5.003 Å, b = 5.003 Å, c = 5.003 Å
α = 60.00°, β = 60.00°, γ = 60.00°
Sites, in units of the cell vectors:
Mg 0.750 0.750 0.750
Fe 0.871 0.376 0.376
Fe 0.376 0.376 0.871
Fe 0.376 0.871 0.376
Fe 0.376 0.376 0.376
Te 0.000 0.000 0.000

Results
The spin magnetization is 9.8 μB per cell. For the formation energy from raw total energies, the calculation gives 4.268 kcal/mol of atoms. As for the total energy: -6.246 eV per atom.



Below is a geometry-optimized MgFe2Te structure, with properties calculated at the PBE level.

a = 3.196 Å, b = 3.196 Å, c = 7.110 Å
α = 90.00°, β = 90.00°, γ = 90.00°
Sites, in units of the cell vectors:
Fe 0.000 0.000 0.040
Fe 0.500 0.500 0.205
Mg 0.000 0.000 0.432
Te 0.500 0.500 0.823

Results
For the polymorph energy (0 for the lowest one), the calculation gives 0.000 eV per atom. The spin magnetization is 4.6 μB per cell. For the formation energy from raw total energies, the calculation gives 4.147 kcal/mol of atoms. As for the total energy: -5.236 eV per atom.



Below is a geometry-optimized MgFeTe2 structure, with properties calculated at the PBE level.

a = 4.105 Å, b = 4.105 Å, c = 6.582 Å
α = 89.99°, β = 89.99°, γ = 59.97°
Sites, in units of the cell vectors:
Fe 0.625 0.625 0.500
Mg 0.625 0.625 0.000
Te 0.958 0.958 0.731
Te 0.292 0.292 0.269

Results
The spin magnetization is 3.7 μB per cell. For the formation energy from raw total energies, the calculation gives -5.225 kcal/mol of atoms. As for the total energy: -4.312 eV per atom.



Below is a geometry-optimized MgFeTe4 structure, with properties calculated at the PBE level.

a = 6.320 Å, b = 6.320 Å, c = 6.320 Å
α = 60.00°, β = 60.00°, γ = 60.00°
Sites, in units of the cell vectors:
Mg 0.000 0.000 0.000
Fe 0.750 0.750 0.750
Te 0.874 0.375 0.375
Te 0.375 0.375 0.874
Te 0.375 0.874 0.375
Te 0.375 0.375 0.375

Results
The spin magnetization is 3.7 μB per cell. For the formation energy from raw total energies, the calculation gives 17.508 kcal/mol of atoms. As for the total energy: -3.011 eV per atom.



Below is a geometry-optimized MgFeTe2 structure, with properties calculated at the PBE level.

a = 3.856 Å, b = 3.856 Å, c = 7.040 Å
α = 90.00°, β = 90.00°, γ = 90.00°
Sites, in units of the cell vectors:
Fe 0.000 0.000 0.491
Mg 0.500 0.500 0.763
Te 0.000 0.000 0.880
Te 0.500 0.500 0.366

Results
The spin magnetization is 3.5 μB per cell. For the formation energy from raw total energies, the calculation gives -3.369 kcal/mol of atoms. As for the total energy: -4.231 eV per atom.



Below is a geometry-optimized MgFeTe2 structure, with properties calculated at the PBE level.

a = 3.508 Å, b = 3.508 Å, c = 7.194 Å
α = 90.00°, β = 90.00°, γ = 90.00°
Sites, in units of the cell vectors:
Fe 0.500 0.500 0.250
Mg 0.500 0.500 0.750
Te 0.000 0.000 0.021
Te 0.000 0.000 0.479

Results
The spin magnetization is 3.1 μB per cell. For the formation energy from raw total energies, the calculation gives 3.181 kcal/mol of atoms. As for the total energy: -3.947 eV per atom.



Below is a geometry-optimized Mg4FeTe structure, with properties calculated at the PBE level.

a = 5.716 Å, b = 5.716 Å, c = 5.716 Å
α = 60.00°, β = 60.00°, γ = 60.00°
Sites, in units of the cell vectors:
Mg 0.876 0.375 0.375
Mg 0.375 0.375 0.876
Mg 0.375 0.876 0.375
Mg 0.375 0.375 0.375
Fe 0.000 0.000 0.000
Te 0.750 0.750 0.750

Results
The spin magnetization is 2.5 μB per cell. For the formation energy from raw total energies, the calculation gives 8.503 kcal/mol of atoms. As for the total energy: -2.628 eV per atom.



Below is a geometry-optimized MgFe2Te structure, with properties calculated at the PBE level.

a = 7.391 Å, b = 7.391 Å, c = 5.909 Å
α = 51.29°, β = 51.29°, γ = 90.00°
Sites, in units of the cell vectors:
Mg 0.500 0.500 0.000
Mg 0.250 0.750 0.500
Te 0.000 0.000 0.000
Te 0.750 0.250 0.500
Fe 0.647 0.125 0.250
Fe 0.103 0.625 0.250
Fe 0.375 0.353 0.750
Fe 0.875 0.897 0.750

Results
For the polymorph energy (0 for the lowest one), the calculation gives 0.401 eV per atom. The spin magnetization is 10.8 μB per cell. For the formation energy from raw total energies, the calculation gives 13.398 kcal/mol of atoms. As for the total energy: -4.834 eV per atom.



Below is a geometry-optimized MgFeTe2 structure, with properties calculated at the PBE level.

a = 4.444 Å, b = 4.032 Å, c = 6.058 Å
α = 90.19°, β = 90.00°, γ = 90.00°
Sites, in units of the cell vectors:
Fe 0.000 0.501 0.528
Mg 0.500 0.505 0.837
Te 0.000 0.002 0.820
Te 0.500 0.493 0.316

Results
The spin magnetization is 3.6 μB per cell. For the formation energy from raw total energies, the calculation gives -3.833 kcal/mol of atoms. As for the total energy: -4.251 eV per atom.



Below is a geometry-optimized MgFeTe2 structure, with properties calculated at the PBE level.

a = 3.770 Å, b = 3.770 Å, c = 7.672 Å
α = 90.00°, β = 90.00°, γ = 114.15°
Sites, in units of the cell vectors:
Fe 0.500 0.500 0.250
Mg 0.500 0.500 0.750
Te 0.000 0.000 0.020
Te 0.000 0.000 0.480

Results
The spin magnetization is 3.3 μB per cell. For the formation energy from raw total energies, the calculation gives 3.395 kcal/mol of atoms. As for the total energy: -3.938 eV per atom.



Below is a geometry-optimized MgFe2Te structure, with properties calculated at the PBE level.

a = 4.364 Å, b = 3.061 Å, c = 5.307 Å
α = 91.51°, β = 90.00°, γ = 90.00°
Sites, in units of the cell vectors:
Fe 0.000 0.848 0.037
Fe 0.000 0.652 0.463
Mg 0.500 0.250 0.250
Te 0.500 0.750 0.750

Results
For the polymorph energy (0 for the lowest one), the calculation gives 0.144 eV per atom. The spin magnetization is 5.1 μB per cell. For the formation energy from raw total energies, the calculation gives 7.477 kcal/mol of atoms. As for the total energy: -5.091 eV per atom.



Below is a geometry-optimized MgFe2Te structure, with properties calculated at the PBE level.

a = 3.976 Å, b = 3.976 Å, c = 4.103 Å
α = 90.00°, β = 90.00°, γ = 90.00°
Sites, in units of the cell vectors:
Fe 0.000 0.000 0.000
Fe 0.500 0.500 0.000
Mg 0.500 0.000 0.500
Te 0.000 0.500 0.500

Results
For the polymorph energy (0 for the lowest one), the calculation gives 0.061 eV per atom. The spin magnetization is 5.0 μB per cell. For the formation energy from raw total energies, the calculation gives 5.561 kcal/mol of atoms. As for the total energy: -5.174 eV per atom.



Below is a geometry-optimized MgFe2Te structure, with properties calculated at the PBE level.

a = 8.535 Å, b = 8.535 Å, c = 8.535 Å
α = 20.99°, β = 20.99°, γ = 20.99°
Sites, in units of the cell vectors:
Fe 0.996 0.996 0.996
Fe 0.504 0.504 0.504
Mg 0.750 0.750 0.750
Te 0.250 0.250 0.250

Results
For the polymorph energy (0 for the lowest one), the calculation gives 0.304 eV per atom. The spin magnetization is 4.7 μB per cell. For the formation energy from raw total energies, the calculation gives 11.164 kcal/mol of atoms. As for the total energy: -4.931 eV per atom.



Below is a geometry-optimized MgFeTe2 structure, with properties calculated at the PBE level.

a = 8.806 Å, b = 8.806 Å, c = 8.806 Å
α = 24.35°, β = 24.35°, γ = 24.35°
Sites, in units of the cell vectors:
Mg 0.000 0.000 0.000
Te 0.888 0.888 0.888
Te 0.112 0.112 0.112
Fe 0.500 0.500 0.500

Results
The spin magnetization is 0.2 μB per cell. For the formation energy from raw total energies, the calculation gives 0.056 kcal/mol of atoms. As for the total energy: -4.083 eV per atom.



Below is a geometry-optimized Th2MgFe9 structure, with properties calculated at the PBE level.

a = 5.084 Å, b = 5.084 Å, c = 8.722 Å
α = 73.06°, β = 73.06°, γ = 60.00°
Sites, in units of the cell vectors:
Th 0.862 0.862 0.414
Th 0.138 0.138 0.586
Mg 0.000 0.000 0.000
Fe 0.667 0.667 0.998
Fe 0.333 0.333 0.002
Fe 0.500 0.500 0.500
Fe 0.421 0.421 0.239
Fe 0.918 0.421 0.239
Fe 0.421 0.918 0.239
Fe 0.579 0.579 0.761
Fe 0.579 0.082 0.761
Fe 0.082 0.579 0.761

Results
The spin magnetization is 18.4 μB per cell. Its energy relative to the elements is 0.04 eV/atom. As for the total energy: -7.676 eV per atom.



Below is a geometry-optimized Th2Mg2Fe15 structure, with properties calculated at the PBE level.

a = 6.511 Å, b = 6.511 Å, c = 6.511 Å
α = 82.60°, β = 82.60°, γ = 82.60°
Sites, in units of the cell vectors:
Th 0.349 0.349 0.349
Th 0.651 0.651 0.651
Mg 0.100 0.100 0.100
Mg 0.900 0.900 0.900
Fe 0.500 0.000 0.000
Fe 0.000 0.000 0.500
Fe 0.000 0.500 0.000
Fe 0.000 0.691 0.309
Fe 0.691 0.309 0.000
Fe 0.309 0.000 0.691
Fe 0.309 0.691 0.000
Fe 0.691 0.000 0.309
Fe 0.000 0.309 0.691
Fe 0.162 0.660 0.660
Fe 0.660 0.660 0.162
Fe 0.660 0.162 0.660
Fe 0.838 0.340 0.340
Fe 0.340 0.340 0.838
Fe 0.340 0.838 0.340

Results
The spin magnetization is 31.3 μB per cell. Its energy relative to the elements is 0.02 eV/atom. As for the total energy: -7.614 eV per atom.



Below is a geometry-optimized ThMgFe structure, with properties calculated at the PBE level.

a = 4.726 Å, b = 4.819 Å, c = 6.223 Å
α = 102.11°, β = 112.32°, γ = 90.00°
Sites, in units of the cell vectors:
Fe 0.801 0.160 0.603
Fe 0.199 0.840 0.397
Mg 0.588 0.799 0.176
Mg 0.412 0.201 0.824
Th 0.862 0.680 0.724
Th 0.138 0.320 0.276

Results
The spin magnetization is 0.0 μB per cell. Its energy relative to the elements is 0.01 eV/atom. As for the total energy: -5.817 eV per atom.



Below is a geometry-optimized Th2Mg3Fe2 structure, with properties calculated at the PBE level.

a = 3.734 Å, b = 3.733 Å, c = 11.187 Å
α = 99.60°, β = 90.00°, γ = 90.00°
Sites, in units of the cell vectors:
Th 0.000 0.819 0.637
Th 0.000 0.181 0.363
Mg 0.500 0.578 0.156
Mg 0.500 0.422 0.844
Mg 0.000 0.000 0.000
Fe 0.500 0.704 0.408
Fe 0.500 0.296 0.592

Results
The spin magnetization is 0.0 μB per cell. Its energy relative to the elements is -0.04 eV/atom. As for the total energy: -5.265 eV per atom.